Sc2HRu | PBE | optimized geometry

The value obtained for the energy above the most stable polymorph in this dataset is 135 meV per atom.

The structure belongs to space group I-42d (No. 122); the cell edges are 6.1181, 6.1181 and 6.4617 Å and the angles 90.00°, 90.00° and 90.00°. Symmetry generates all atoms from Sc at (0.1728, 0.2500, 0.1250), H at (0.0000, 0.0000, 0.0000) and Ru at (0.0000, 0.0000, 0.5000).

KAgPt2 | PBE | optimized geometry

The calculation puts the formation enthalpy at 0 K at 418 meV per atom.

The structure belongs to space group P4/mmm (No. 123); the cell edges are 5.3896, 5.3896 and 2.7414 Å and the angles 90.00°, 90.00° and 90.00°. Symmetry generates all atoms from K at (0.0000, 0.0000, 0.0000), Ag at (0.5000, 0.5000, 0.0000) and Pt at (0.0000, 0.5000, 0.5000).

Hf2ReGeRh | PBE | optimized geometry

The calculation puts the formation enthalpy at 0 K at 766 meV per atom.

The structure belongs to space group P4/mmm (No. 123); the cell edges are 5.0167, 5.0167 and 4.6830 Å and the angles 90.00°, 90.00° and 90.00°. Symmetry generates all atoms from Hf at (0.0000, 0.5000, 0.0000), Re at (0.0000, 0.0000, 0.0000), Ge at (0.5000, 0.5000, 0.5000) and Rh at (0.0000, 0.0000, 0.5000).

CrSb2P | PBE | optimized geometry

As for the uncorrected formation energy: 0.509 eV/atom.

The structure belongs to space group Pmmm (No. 47); the cell edges are 3.6211, 4.4846 and 5.2568 Å and the angles 90.00°, 90.00° and 90.00°. Symmetry generates all atoms from Cr at (0.0000, 0.0000, 0.0000), Sb at (0.0000, 0.5000, 0.5000), Sb at (0.5000, 0.5000, 0.0000) and P at (0.5000, 0.0000, 0.5000).

The following total magnetic moment values (in Bohr magnetons per cell) correspond, in order, to the records above: 0.000 0.001 0.000 3.614.